Below is crystalline Li2MnO2F at its relaxed geometry, with properties calculated at the GGA+U level.

Summary:
Total moment = 16.0 μB per cell
Crystal system = monoclinic
Electronic total energy = -5.954 eV/atom
ΔE to the lowest computed polymorph = 58 meV/atom

a b c (Å): 5.1503 5.1503 9.8672
angles (deg): 84.93 84.93 119.76
With the nearest neighbours (Å) after each atom.
Fractional coordinates of all 24 atoms:
O 0.9205 0.8516 0.3659  2 Mn 1.95-2.02, 3 Li 1.97-2.18
F 0.1337 0.6848 0.8768  4 Li 2.06-2.15, 2 Mn 2.24-2.25
O 0.5167 0.1455 0.3768  2 Mn 1.92-1.99, 1 Li 2.08
O 0.8545 0.4833 0.6232  2 Mn 1.92-1.99, 1 Li 2.08
Mn 0.1807 0.8193 0.5000  4 O 1.92-2.02
O 0.6322 0.4990 0.1260  2 Mn 1.95-1.97, 2 Li 1.97-2.03
Li 0.3963 0.6037 0.0000  4 O 2.03-2.19, 2 F 2.06
Mn 0.7279 0.2721 0.0000  4 O 1.97-2.00
Li 0.9168 0.5140 0.2504  4 O 1.97-2.19, 2 F 2.13-2.16
F 0.2295 0.5057 0.3809  4 Li 2.05-2.16, 2 Mn 2.18-2.26
Mn 0.8112 0.7355 0.7551  4 O 1.95-1.99
Li 0.0439 0.9561 0.0000  2 O 2.02, 2 F 2.12
O 0.9905 0.2215 0.1244  2 Mn 1.98-2.00, 4 Li 2.02-2.19
Li 0.5388 0.4612 0.5000  4 O 2.08-2.19, 2 F 2.15
Li 0.6295 0.8743 0.2553  3 O 1.97-2.17, 2 F 2.15
Li 0.1257 0.3705 0.7447  3 O 1.97-2.17, 2 F 2.15
O 0.1484 0.0795 0.6341  2 Mn 1.95-2.02, 3 Li 1.97-2.18
O 0.5010 0.3678 0.8740  2 Mn 1.95-1.97, 2 Li 1.97-2.03
F 0.3152 0.8663 0.1232  4 Li 2.06-2.15, 2 Mn 2.24-2.25
O 0.7785 0.0095 0.8756  2 Mn 1.98-2.00, 4 Li 2.02-2.19
Mn 0.2645 0.1888 0.2449  4 O 1.95-1.99
Li 0.4860 0.0832 0.7496  4 O 1.97-2.19, 2 F 2.13-2.16
Li 0.8617 0.1383 0.5000  2 F 2.05, 4 O 2.18-2.25
F 0.4943 0.7705 0.6191  4 Li 2.05-2.16, 2 Mn 2.18-2.26